Density functional theory data (PBE+U) for a geometry-optimized YHfMn2O structure.

Calculated values
VASP energy in eV per cell: -36.633
N(E_F) in states/eV/f.u.: 6.1
Total magnetic moment in μB/cell: 8.84
Space group: P4/mmm (123)

Lattice parameters (Å, degrees): 5.6532 3.9152 5.6532 90.00 90.00 90.00
With the nearest neighbours (Å) after each atom.
Fractional positions:
1 Hf 0.0000 0.0000 0.0000  2 O 1.96
2 Mn 0.5000 0.0000 0.0000  2 Hf 2.83
3 Mn 0.0000 0.0000 0.5000  2 Hf 2.83
4 Y 0.5000 0.5000 0.5000  8 Mn 3.44
5 O 0.0000 0.5000 0.0000  2 Hf 1.96